(1)
The following is a DFT calculation (PBE) of an optimized crystal structure of LiPbW3.

Values from the calculation:
As for the energy: -7.24 eV per atom. Its formation energy is 1.655 eV per atom. As for the energy above the most stable polymorph in this dataset: 0 meV/atom. Its space group is Pm-3m (221). The calculated density is 15.22 Mg/m³.

a b c (Å): 4.3712 4.3712 4.3712
angles (deg): 90.00 90.00 90.00
With the nearest neighbours (Å) after each atom.
Positions (direct):
W (0.5000, 0.0000, 0.0000)  2 Li 2.19
W (0.0000, 0.0000, 0.5000)  2 Li 2.19
Li (0.0000, 0.0000, 0.0000)  6 W 2.19
W (0.0000, 0.5000, 0.0000)  2 Li 2.19
Pb (0.5000, 0.5000, 0.5000)  12 W 3.09

=====

(2)
The following is a DFT calculation (PBE) of an optimized crystal structure of LiPb2W.

Values from the calculation:
As for the energy: -4.96 eV per atom. Its formation energy is 0.607 eV per atom. As for the energy above the most stable polymorph in this dataset: 151 meV/atom. Its space group is R3m (160). The calculated density is 10.50 Mg/m³.

a b c (Å): 11.6277 11.6277 11.6277
angles (deg): 15.33 15.33 15.33
With the nearest neighbours (Å) after each atom.
Positions (direct):
Pb (0.2324, 0.2324, 0.2324)  3 W 3.08, 6 Pb 3.10
Pb (0.0150, 0.0150, 0.0150)  6 Pb 3.10, 3 Li 3.23
Li (0.7598, 0.7598, 0.7598)  3 W 2.91, 6 Li 3.10, 3 Pb 3.23
W (0.4928, 0.4928, 0.4928)  3 Li 2.91, 3 Pb 3.08, 6 W 3.10

=====

(3)
The following is a DFT calculation (PBE) of an optimized crystal structure of LiPbW3.

Values from the calculation:
As for the energy: -5.78 eV per atom. Its formation energy is 3.115 eV per atom. As for the energy above the most stable polymorph in this dataset: 1460 meV/atom. Its space group is Pm-3m (221). The calculated density is 9.84 Mg/m³.

a b c (Å): 5.0562 5.0562 5.0562
angles (deg): 90.00 90.00 90.00
With the nearest neighbours (Å) after each atom.
Positions (direct):
Li (0.5000, 0.5000, 0.5000)  12 W 3.58
W (0.0000, 0.0000, 0.5000)  2 Pb 2.53
Pb (0.0000, 0.0000, 0.0000)  6 W 2.53
W (0.5000, 0.0000, 0.0000)  2 Pb 2.53
W (0.0000, 0.5000, 0.0000)  2 Pb 2.53

=====

(4)
The following is a DFT calculation (PBE) of an optimized crystal structure of LiPb2W.

Values from the calculation:
As for the energy: -4.91 eV per atom. Its formation energy is 0.657 eV per atom. As for the energy above the most stable polymorph in this dataset: 200 meV/atom. Its space group is Imm2 (44). The calculated density is 12.18 Mg/m³.

a b c (Å): 5.7679 5.7679 5.7679
angles (deg): 142.43 134.55 60.39
With the nearest neighbours (Å) after each atom.
Positions (direct):
Li (0.2580, 0.7580, 0.5000)  6 Pb 2.91-3.15, 2 W 3.04
Pb (0.0024, 0.0024, 0.0000)  4 W 2.90, 2 Li 3.15, 2 Pb 3.21
W (0.4996, 0.4996, 0.0000)  6 Pb 2.90-3.03, 2 Li 3.04
Pb (0.7400, 0.2400, 0.5000)  4 Li 2.91, 2 W 3.03, 4 Pb 3.21-3.25

=====

(5)
The following is a DFT calculation (PBE) of an optimized crystal structure of LiPb2W.

Values from the calculation:
As for the energy: -5.11 eV per atom. Its formation energy is 0.457 eV per atom. As for the energy above the most stable polymorph in this dataset: 0 meV/atom. Its space group is R-3m (166). The calculated density is 11.64 Mg/m³.

a b c (Å): 9.3544 9.3544 9.3544
angles (deg): 20.32 20.32 20.32
With the nearest neighbours (Å) after each atom.
Positions (direct):
Li (0.7500, 0.7500, 0.7500)  6 Pb 3.01, 6 Li 3.30
Pb (0.9983, 0.9983, 0.9983)  3 W 2.94, 3 Li 3.01
Pb (0.5017, 0.5017, 0.5017)  3 W 2.94, 3 Li 3.01
W (0.2500, 0.2500, 0.2500)  6 Pb 2.94

=====

(6)
The following is a DFT calculation (PBE) of an optimized crystal structure of LiPb2W.

Values from the calculation:
As for the energy: -4.96 eV per atom. Its formation energy is 0.612 eV per atom. As for the energy above the most stable polymorph in this dataset: 155 meV/atom. Its space group is C2/m (12). The calculated density is 11.52 Mg/m³.

a b c (Å): 4.8866 4.8866 6.2030
angles (deg): 81.46 81.46 36.62
With the nearest neighbours (Å) after each atom.
Positions (direct):
Pb (0.4972, 0.4972, 0.5088)  3 W 2.96-2.97, 3 Li 3.00-3.04, 2 Pb 3.07
W (0.7500, 0.7500, 0.7500)  6 Pb 2.96-2.97, 2 W 3.07
Pb (0.0028, 0.0028, 0.9912)  3 W 2.96-2.97, 3 Li 3.00-3.04, 2 Pb 3.07
Li (0.2500, 0.2500, 0.2500)  6 Pb 3.00-3.04, 2 Li 3.07

=====

(7)
The following is a DFT calculation (PBE) of an optimized crystal structure of LiPb2W.

Values from the calculation:
As for the energy: -4.56 eV per atom. Its formation energy is 1.010 eV per atom. As for the energy above the most stable polymorph in this dataset: 553 meV/atom. Its space group is F-43m (216). The calculated density is 10.73 Mg/m³.

a b c (Å): 5.0970 5.0970 5.0970
angles (deg): 60.00 60.00 60.00
With the nearest neighbours (Å) after each atom.
Positions (direct):
Li (0.5000, 0.5000, 0.5000)  4 W 3.12, 4 Pb 3.12
W (0.7500, 0.7500, 0.7500)  4 Pb 3.12, 4 Li 3.12
Pb (0.2500, 0.2500, 0.2500)  4 Li 3.12, 4 Pb 3.12
Pb (0.0000, 0.0000, 0.0000)  4 Pb 3.12, 4 W 3.12

=====

(8)
The following is a DFT calculation (PBE) of an optimized crystal structure of LiPb2W.

Values from the calculation:
As for the energy: -4.93 eV per atom. Its formation energy is 0.637 eV per atom. As for the energy above the most stable polymorph in this dataset: 180 meV/atom. Its space group is P4mm (99). The calculated density is 11.90 Mg/m³.

a b c (Å): 3.8206 3.8206 5.7846
angles (deg): 90.00 90.00 90.00
With the nearest neighbours (Å) after each atom.
Positions (direct):
Pb (0.0000, 0.0000, 0.9629)  2 W 2.76-3.02, 4 Li 2.96
Li (0.5000, 0.5000, 0.7539)  1 Pb 2.64
Pb (0.5000, 0.5000, 0.2980)  1 Li 2.64, 4 W 2.91
W (0.0000, 0.0000, 0.4852)  6 Pb 2.76-3.02

=====

(9)
The following is a DFT calculation (PBE) of an optimized crystal structure of LiPb2W.

Values from the calculation:
As for the energy: -5.05 eV per atom. Its formation energy is 0.524 eV per atom. As for the energy above the most stable polymorph in this dataset: 67 meV/atom. Its space group is Cmmm (65). The calculated density is 11.52 Mg/m³.

a b c (Å): 3.1804 3.1804 9.0806
angles (deg): 90.00 90.00 108.29
With the nearest neighbours (Å) after each atom.
Positions (direct):
Pb (0.0000, 0.0000, 0.0053)  2 W 2.90, 2 Li 2.97, 4 Pb 3.18
Pb (0.0000, 0.0000, 0.4947)  2 W 2.90, 2 Li 2.97, 4 Pb 3.18
W (0.5000, 0.5000, 0.2500)  4 Pb 2.90, 4 W 3.18
Li (0.5000, 0.5000, 0.7500)  4 Pb 2.97, 4 Li 3.18

=====

(10)
The following is a DFT calculation (PBE) of an optimized crystal structure of LiPb2W.

Values from the calculation:
As for the energy: -4.82 eV per atom. Its formation energy is 0.753 eV per atom. As for the energy above the most stable polymorph in this dataset: 296 meV/atom. Its space group is Pmmm (47). The calculated density is 11.45 Mg/m³.

a b c (Å): 3.2224 5.8061 4.6896
angles (deg): 90.00 90.00 90.00
With the nearest neighbours (Å) after each atom.
Positions (direct):
Pb (0.0000, 0.0000, 0.0000)  4 W 2.85
Pb (0.5000, 0.5000, 0.0000)  4 Li 2.85
W (0.5000, 0.0000, 0.5000)  4 Pb 2.85
Li (0.0000, 0.5000, 0.5000)  4 Pb 2.85

=====

(11)
The following is a DFT calculation (PBE) of an optimized crystal structure of LiPb2W.

Values from the calculation:
As for the energy: -5.01 eV per atom. Its formation energy is 0.562 eV per atom. As for the energy above the most stable polymorph in this dataset: 105 meV/atom. Its space group is Pmmm (47). The calculated density is 11.78 Mg/m³.

a b c (Å): 3.2125 3.7825 7.0196
angles (deg): 90.00 90.00 90.00
With the nearest neighbours (Å) after each atom.
Positions (direct):
Pb (0.0000, 0.0000, 0.0079)  4 W 3.01, 4 Li 3.07, 2 Pb 3.21
Pb (0.0000, 0.0000, 0.4921)  4 W 3.01, 4 Li 3.07, 2 Pb 3.21
W (0.5000, 0.5000, 0.2500)  8 Pb 3.01, 2 W 3.21
Li (0.5000, 0.5000, 0.7500)  8 Pb 3.07, 2 Li 3.21

=====

(12)
The following is a DFT calculation (PBE) of an optimized crystal structure of LiPb2W.

Values from the calculation:
As for the energy: -4.98 eV per atom. Its formation energy is 0.594 eV per atom. As for the energy above the most stable polymorph in this dataset: 138 meV/atom. Its space group is Pm (6). The calculated density is 11.81 Mg/m³.

a b c (Å): 5.0048 3.0952 5.7057
angles (deg): 74.32 90.00 90.00
With the nearest neighbours (Å) after each atom.
Positions (direct):
Li (0.5000, 0.5555, 0.7698)  2 W 2.95, 7 Pb 2.95-3.08, 2 Li 3.10
Pb (0.5000, 0.2804, 0.3102)  3 Li 2.95-2.97, 4 W 3.09-3.10, 2 Pb 3.10
W (0.0000, 0.6915, 0.4843)  7 Pb 2.91-3.10, 2 Li 2.95, 2 W 3.10
Pb (0.0000, 0.9727, 0.9357)  3 W 2.91-3.01, 4 Li 3.08, 2 Pb 3.10

=====

(13)
The following is a DFT calculation (PBE) of an optimized crystal structure of LiPb2W.

Values from the calculation:
As for the energy: -4.55 eV per atom. Its formation energy is 1.023 eV per atom. As for the energy above the most stable polymorph in this dataset: 566 meV/atom. Its space group is I-42d (122). The calculated density is 9.89 Mg/m³.

a b c (Å): 4.6323 4.6323 10.0228
angles (deg): 76.64 76.64 90.00
With the nearest neighbours (Å) after each atom.
Positions (direct):
Pb (0.6296, 0.1250, 0.2500)  2 W 2.87, 2 Li 2.89
Pb (0.8750, 0.8796, 0.7500)  2 W 2.87, 2 Li 2.89
Pb (0.1204, 0.6250, 0.2500)  2 W 2.87, 2 Li 2.89
Li (0.5000, 0.5000, 0.0000)  4 Pb 2.89
Pb (0.3750, 0.3704, 0.7500)  2 W 2.87, 2 Li 2.89
Li (0.2500, 0.7500, 0.5000)  4 Pb 2.89
W (0.7500, 0.2500, 0.5000)  4 Pb 2.87
W (0.0000, 0.0000, 0.0000)  4 Pb 2.87

=====

(14)
The following is a DFT calculation (PBE) of an optimized crystal structure of LiPb4W.

Values from the calculation:
As for the energy: -3.98 eV per atom. Its formation energy is 0.967 eV per atom. Its space group is F-43m (216). The calculated density is 9.47 Mg/m³.

a b c (Å): 6.3236 6.3236 6.3236
angles (deg): 60.00 60.00 60.00
With the nearest neighbours (Å) after each atom.
Positions (direct):
Li (0.0000, 0.0000, 0.0000)  12 Pb 3.71, 4 W 3.87
W (0.7500, 0.7500, 0.7500)  12 Pb 3.70, 4 Li 3.87
Pb (0.3760, 0.3760, 0.8719)  6 Pb 3.14-3.19
Pb (0.3760, 0.3760, 0.3760)  6 Pb 3.14-3.19
Pb (0.8719, 0.3760, 0.3760)  6 Pb 3.14-3.19
Pb (0.3760, 0.8719, 0.3760)  6 Pb 3.14-3.19

=====

(15)
The following is a DFT calculation (PBE) of an optimized crystal structure of LiPb2W.

Values from the calculation:
As for the energy: -4.92 eV per atom. Its formation energy is 0.653 eV per atom. As for the energy above the most stable polymorph in this dataset: 196 meV/atom. Its space group is P4/mmm (123). The calculated density is 12.15 Mg/m³.

a b c (Å): 3.5010 4.8601 4.8601
angles (deg): 90.00 90.00 90.00
With the nearest neighbours (Å) after each atom.
Positions (direct):
Pb (0.0000, 0.0000, 0.0000)  4 W 2.99, 4 Li 2.99
Pb (0.0000, 0.5000, 0.5000)  4 W 2.99, 4 Li 2.99
W (0.5000, 0.5000, 0.0000)  8 Pb 2.99
Li (0.5000, 0.0000, 0.5000)  8 Pb 2.99

=====

(16)
The following is a DFT calculation (PBE) of an optimized crystal structure of LiPb2W.

Values from the calculation:
As for the energy: -4.97 eV per atom. Its formation energy is 0.606 eV per atom. As for the energy above the most stable polymorph in this dataset: 149 meV/atom. Its space group is Cmm2 (35). The calculated density is 10.53 Mg/m³.

a b c (Å): 2.9970 2.9970 11.0020
angles (deg): 90.00 90.00 104.99
With the nearest neighbours (Å) after each atom.
Positions (direct):
Pb (0.5000, 0.5000, 0.3097)  4 Pb 3.00, 2 W 3.01
W (0.0000, 0.0000, 0.5277)  2 Li 2.79, 4 W 3.00, 2 Pb 3.01
Pb (0.0000, 0.0000, 0.9433)  4 Pb 3.00, 2 Li 3.07
Li (0.5000, 0.5000, 0.7193)  2 W 2.79, 4 Li 3.00, 2 Pb 3.07

=====

(17)
The following is a DFT calculation (PBE) of an optimized crystal structure of Li4PbW.

Values from the calculation:
As for the energy: -3.56 eV per atom. Its formation energy is 0.491 eV per atom. Its space group is F-43m (216). The calculated density is 6.95 Mg/m³.

a b c (Å): 5.2105 5.2105 5.2105
angles (deg): 60.00 60.00 60.00
With the nearest neighbours (Å) after each atom.
Positions (direct):
Li (0.3726, 0.3726, 0.3726)  6 Li 2.55-2.66
Li (0.3726, 0.3726, 0.8823)  6 Li 2.55-2.66
W (0.0000, 0.0000, 0.0000)  12 Li 3.05, 4 Pb 3.19
Li (0.8823, 0.3726, 0.3726)  6 Li 2.55-2.66
Li (0.3726, 0.8823, 0.3726)  6 Li 2.55-2.66
Pb (0.7500, 0.7500, 0.7500)  12 Li 3.06, 4 W 3.19

=====

(18)
The following is a DFT calculation (PBE) of an optimized crystal structure of LiPb2W.

Values from the calculation:
As for the energy: -4.96 eV per atom. Its formation energy is 0.607 eV per atom. As for the energy above the most stable polymorph in this dataset: 150 meV/atom. Its space group is P4mm (99). The calculated density is 10.58 Mg/m³.

a b c (Å): 2.9934 2.9934 10.6033
angles (deg): 90.00 90.00 90.00
With the nearest neighbours (Å) after each atom.
Positions (direct):
W (0.0000, 0.0000, 0.5334)  4 Li 2.90, 4 W 2.99, 4 Pb 3.15
Pb (0.5000, 0.5000, 0.3139)  4 Pb 2.99, 4 W 3.15
Li (0.5000, 0.5000, 0.7209)  4 W 2.90, 4 Li 2.99, 4 Pb 3.08
Pb (0.0000, 0.0000, 0.9318)  4 Pb 2.99, 4 Li 3.08

=====

(19)
The following is a DFT calculation (PBE) of an optimized crystal structure of LiPb2W.

Values from the calculation:
As for the energy: -4.88 eV per atom. Its formation energy is 0.693 eV per atom. As for the energy above the most stable polymorph in this dataset: 236 meV/atom. Its space group is Fm-3m (225). The calculated density is 11.72 Mg/m³.

a b c (Å): 4.9498 4.9498 4.9498
angles (deg): 60.00 60.00 60.00
With the nearest neighbours (Å) after each atom.
Positions (direct):
Li (0.0000, 0.0000, 0.0000)  8 Pb 3.03
Pb (0.7500, 0.7500, 0.7500)  4 Li 3.03, 4 W 3.03
Pb (0.2500, 0.2500, 0.2500)  4 W 3.03, 4 Li 3.03
W (0.5000, 0.5000, 0.5000)  8 Pb 3.03

=====

(20)
The following is a DFT calculation (PBE) of an optimized crystal structure of LiPb2W.

Values from the calculation:
As for the energy: -4.98 eV per atom. Its formation energy is 0.595 eV per atom. As for the energy above the most stable polymorph in this dataset: 138 meV/atom. Its space group is Cm (8). The calculated density is 11.85 Mg/m³.

a b c (Å): 5.7563 5.7563 5.0357
angles (deg): 84.02 84.02 30.76
With the nearest neighbours (Å) after each atom.
Positions (direct):
W (0.5065, 0.5065, 0.5206)  7 Pb 2.89-3.18, 2 W 3.05, 2 Li 3.17
Pb (0.9971, 0.9971, 0.0358)  4 W 2.89-3.00, 1 Li 2.93, 2 Pb 3.05
Pb (0.7608, 0.7608, 0.7071)  4 Li 2.86-3.06, 2 Pb 3.05, 3 W 3.07-3.18
Li (0.2356, 0.2356, 0.2366)  5 Pb 2.86-3.06, 2 Li 3.05, 2 W 3.17